This record from the Alexandria database describes BaTcNi2 at its PBEsol-relaxed geometry. The functional is SCAN.

Computed properties:
The energy above the most stable polymorph in this dataset is 752 meV per atom. The energy relative to the elements comes out at 0.94 eV per atom. The space group is No. 123.

a = 2.8791 Å, b = 4.8378 Å, c = 4.8378 Å
α = 90.00°, β = 90.00°, γ = 90.00°
Each line ends with the local moment (μB).
Fractional coordinates of all 4 atoms:
Ni  0.0000  0.5000  0.0000  0.49
Ba  0.5000  0.0000  0.0000  -0.06
Tc  0.5000  0.5000  0.5000  1.33
Ni  0.0000  0.0000  0.5000  0.49